The following is a DFT calculation (GGA-PBE) of a geometry-optimized LiPaInO4 structure.

* formation energy from raw total energies: -2.365 eV/atom
* total magnetic moment: 0.00 Bohr magnetons per cell

```
14
Lattice="-3.257 3.554 4.914 3.257 -3.554 4.914 3.257 3.554 -4.914" Properties=species:S:1:pos:R:3 pbc="T T T"
Li 0.000 1.777 1.562
Li 3.257 1.777 3.351
Pa 3.257 0.000 0.000
Pa 0.000 0.000 4.914
In 1.629 1.777 -2.457
In 1.629 -1.777 2.457
O 3.257 -0.022 2.133
O 1.881 1.777 -0.034
O 4.634 1.777 -0.034
O 3.257 3.532 -2.133
O 0.000 0.022 7.046
O -1.376 1.777 4.948
O 1.376 1.777 4.948
O 0.000 3.575 2.781
```

---

The following is a DFT calculation (GGA-PBE) of a geometry-optimized LiPaInO5 structure.

* formation energy from raw total energies: -2.168 eV/atom
* total magnetic moment: 1.16 Bohr magnetons per cell

```
16
Lattice="3.325 -4.651 0.000 3.325 4.651 0.000 -3.174 0.000 7.299" Properties=species:S:1:pos:R:3 pbc="T T T"
Li 0.944 2.910 5.474
Li 2.531 -2.910 1.825
Pa 3.325 0.000 0.000
Pa 1.738 0.000 3.649
In 2.531 3.361 1.825
In 0.944 -3.361 5.474
O -0.269 0.405 3.156
O -0.358 1.650 6.092
O -1.856 -0.405 6.806
O 2.531 1.160 1.825
O 2.247 1.650 4.857
O 1.229 -1.650 2.442
O 0.944 -1.160 5.474
O 5.332 0.405 0.493
O 3.833 -1.650 1.207
O 3.745 -0.405 4.143
```

---

The following is a DFT calculation (GGA-PBE) of a geometry-optimized LiIn2PbO6 structure.

* formation energy from raw total energies: -1.200 eV/atom
* total magnetic moment: 1.11 Bohr magnetons per cell

```
10
Lattice="2.777 1.603 4.952 -2.777 1.603 4.952 0.000 -3.207 4.952" Properties=species:S:1:pos:R:3 pbc="T T T"
Li 0.000 0.000 0.000
In 0.000 0.000 3.166
In 0.000 0.000 10.609
Pb 0.000 0.000 7.477
O -0.844 -1.775 6.593
O -1.643 0.028 9.054
O -1.116 1.619 6.593
O 0.797 -1.436 9.054
O 1.960 0.157 6.593
O 0.845 1.409 9.054
```

---

The following is a DFT calculation (GGA-PBE) of a geometry-optimized LiIn2PbO structure.

* formation energy from raw total energies: 0.603 eV/atom
* total magnetic moment: 0.02 Bohr magnetons per cell

```
5
Lattice="5.742 0.000 0.000 0.000 5.742 0.000 0.000 0.000 5.187" Properties=species:S:1:pos:R:3 pbc="T T T"
Li 0.000 0.000 0.000
In 0.000 2.871 2.593
In 2.871 0.000 2.593
Pb 0.000 0.000 2.593
O 2.871 2.871 0.000
```

---

The following is a DFT calculation (GGA-PBE) of a geometry-optimized Li3In3PdO8 structure.

* formation energy from raw total energies: -1.467 eV/atom
* total magnetic moment: 0.00 Bohr magnetons per cell

```
15
Lattice="3.202 1.848 4.987 -3.202 1.848 4.987 0.000 -3.697 4.987" Properties=species:S:1:pos:R:3 pbc="T T T"
Li -1.601 -0.924 4.987
Li -1.601 0.924 9.974
Li 0.000 1.848 4.987
In -3.202 0.000 7.480
In -1.601 0.924 2.493
In 1.601 0.924 2.493
Pd 0.000 0.000 7.480
O 0.000 0.000 3.681
O -1.477 -0.853 8.612
O 0.000 -1.705 6.348
O -1.477 0.853 6.348
O 1.477 -0.853 8.612
O 0.000 1.705 8.612
O 1.477 0.853 6.348
O 0.000 0.000 11.279
```

---

The following is a DFT calculation (GGA-PBE) of a geometry-optimized Li3InPd3O8 structure.

* formation energy from raw total energies: -0.988 eV/atom
* total magnetic moment: 0.00 Bohr magnetons per cell

```
15
Lattice="5.679 -3.014 0.000 5.679 3.014 0.000 -2.761 0.000 5.080" Properties=species:S:1:pos:R:3 pbc="T T T"
Li 0.000 0.000 0.000
Li 1.459 1.507 2.540
Li 1.459 -1.507 2.540
In -1.381 0.000 2.540
Pd 2.840 1.507 0.000
Pd 2.840 -1.507 0.000
Pd 4.299 0.000 2.540
O 1.826 0.000 0.993
O 4.574 1.414 1.126
O 0.605 0.000 3.751
O 4.023 1.414 3.954
O 4.574 -1.414 1.126
O 7.992 0.000 1.329
O 4.023 -1.414 3.954
O 6.772 0.000 4.087
```

---

Among the records above, which one has the highest total magnetic moment? LiPaInO5

---

Among the records above, which one has the highest formation energy from raw total energies? LiIn2PbO